1.
## SiTcPb2 (GGA-PBE)

Data for an optimized crystal structure of SiTcPb2.

Unit cell a=4.9676 b=4.9676 c=3.4442 alpha=90.00 beta=90.00 gamma=98.33
Positions (direct):
1 Si 0.0000 0.0000 0.0000
2 Tc 0.5000 0.5000 0.0000
3 Pb 0.0000 0.5000 0.5000
4 Pb 0.5000 0.0000 0.5000

2.
## Si3TcPb (GGA-PBE)

Data for an optimized crystal structure of Si3TcPb.

Unit cell a=4.7440 b=4.7440 c=4.7440 alpha=90.00 beta=90.00 gamma=90.00
Positions (direct):
1 Si 0.0000 0.0000 0.5000
2 Si 0.0000 0.5000 0.0000
3 Si 0.5000 0.0000 0.0000
4 Tc 0.0000 0.0000 0.0000
5 Pb 0.5000 0.5000 0.5000

3.
## SiTcPb2 (GGA-PBE)

Data for an optimized crystal structure of SiTcPb2.

Unit cell a=8.4277 b=8.4277 c=3.6885 alpha=102.56 beta=102.56 gamma=21.77
Positions (direct):
1 Si 0.0000 0.0000 0.0000
2 Tc 0.5000 0.5000 0.5000
3 Pb 0.1595 0.1595 0.6597
4 Pb 0.8405 0.8405 0.3403

Computed N(E_F), in the same sequence as the records: 3.84, 5.93, 3.17 states/eV/cell.
Computed formation energy without anion corrections, in the same sequence as the records: 0.81, 0.45, 0.16 eV/atom.